(1)
Here is crystalline HfAg2I at its relaxed geometry from the Alexandria database. Energies are from GGA-PBE.

Results
The density of states at the Fermi level comes out at 6.4 states/eV per cell. As for the space group: Cm. The calculation puts the distance to the lowest polymorph of the same formula at 14.0 kJ per mole of atoms. The uncorrected energy comes out at -33.80 eV for the cell shown.

```
HfAg2I
1.0
9.5625 0.0000 0.0149
0.0000 3.4934 0.0000
-1.2490 0.0000 5.8916
Ag I Hf
4 2 2
Cartesian
0.4305 0.0000 2.5291
8.2189 1.7467 1.1474
-0.1940 1.7467 5.4749
7.5944 0.0000 4.0932
4.1405 1.7467 0.2952
3.5160 0.0000 3.2411
5.1345 0.0000 5.6405
5.7590 1.7467 2.6946
```

=====

(2)
Here is crystalline CrAsH at its relaxed geometry from the Alexandria database. Energies are from GGA-PBE.

Results
The density of states at the Fermi level comes out at 5.9 states/eV per cell. As for the space group: P2_1/c. The calculation puts the distance to the lowest polymorph of the same formula at 0.0 kJ per mole of atoms. The uncorrected energy comes out at -70.22 eV for the cell shown.

```
CrAsH
1.0
4.5435 0.0000 -0.4185
0.0000 5.2366 0.0000
-2.4619 0.0000 6.7506
As H Cr
4 4 4
Cartesian
0.9255 4.7954 5.1176
-1.3463 3.0595 5.3268
3.4280 2.1771 1.0054
1.1562 0.4412 1.2146
1.3532 3.2312 2.1755
-1.5434 0.6129 4.3658
0.7284 2.0054 4.1566
3.6250 4.6237 1.9663
2.2036 4.5273 3.0542
2.1498 1.9090 3.0687
-0.1219 0.7093 3.2779
-0.0682 3.3276 3.2635
```

=====

(3)
Here is crystalline Ac2ZnAgPd6 at its relaxed geometry from the Alexandria database. Energies are from GGA-PBE.

Results
The density of states at the Fermi level comes out at 4.4 states/eV per cell. The energy of formation from the pure elements is -586 meV per atom. As for the space group: C2/m. The uncorrected energy comes out at -49.36 eV for the cell shown.

```
Ac2ZnAgPd6
1.0
8.8985 -0.1288 -0.0712
0.0816 5.5144 0.0753
4.6877 2.6286 4.3824
Pd Ac Zn Ag
6 2 1 1
Cartesian
7.0675 6.7302 4.3033
3.0410 2.6857 2.1888
6.6002 1.2840 0.0832
10.6268 5.3285 2.1977
6.6378 4.0415 0.1175
7.0300 3.9727 4.2690
4.9018 5.4138 2.2634
8.7659 2.6004 2.1231
4.4900 2.6928 0.0021
0.0000 0.0000 0.0000
```